[1]
# SCAN CrIr2Rh, single point on PBEsol structure
data_CrIr2Rh
_chemical_formula_sum 'Cr3 Ir6 Rh3'
_cell_length_a 2.6655
_cell_length_b 2.6655
_cell_length_c 25.8884
_cell_angle_alpha 90.00
_cell_angle_beta 90.00
_cell_angle_gamma 120.00
_symmetry_space_group_name_H-M 'R -3 m'
_symmetry_Int_Tables_number 166
_symmetry_space_group_name_Hall '-R 3 2"'
loop_
_atom_site_label
_atom_site_type_symbol
_atom_site_fract_x
_atom_site_fract_y
_atom_site_fract_z
Cr1 Cr 0.0000 0.0000 0.0000
Ir1 Ir 0.0000 0.0000 0.2542
Rh1 Rh 0.0000 0.0000 0.5000
# - E_form (meV per atom) = -125.3



[2]
# SCAN HgSbO2F, single point on PBEsol structure
data_HgSbO2F
_chemical_formula_sum 'Hg1 Sb1 O2 F1'
_cell_length_a 4.1951
_cell_length_b 4.1951
_cell_length_c 4.4241
_cell_angle_alpha 90.00
_cell_angle_beta 90.00
_cell_angle_gamma 90.00
_symmetry_space_group_name_H-M 'P 4/m m m'
_symmetry_Int_Tables_number 123
_symmetry_space_group_name_Hall '-P 4 2'
loop_
_atom_site_label
_atom_site_type_symbol
_atom_site_fract_x
_atom_site_fract_y
_atom_site_fract_z
Hg1 Hg 0.0000 0.0000 0.0000
Sb1 Sb 0.5000 0.5000 0.5000
O1 O 0.0000 0.5000 0.0000
F1 F 0.0000 0.0000 0.5000
# - uncorrected formation energy (meV/atom) = -98